An optimized crystal structure of KCa2MoF8. Source: Alexandria, functional PBE with a Hubbard U.

a = 5.172 Å, b = 7.333 Å, c = 5.377 Å
α = 90.00°, β = 90.43°, γ = 90.00°
Sites, in units of the cell vectors:
K: 0.000 0.000 0.000
Ca: 0.500 0.249 0.500
Ca: 0.500 0.751 0.500
Mo: 0.000 0.500 0.000
F: 0.199 0.297 0.198
F: 0.199 0.703 0.198
F: 0.287 0.500 0.712
F: 0.327 0.000 0.671
F: 0.673 0.000 0.329
F: 0.713 0.500 0.288
F: 0.801 0.297 0.802
F: 0.801 0.703 0.802

Calculated values
Crystal system = monoclinic
DOS at the Fermi energy = 0.000 states/eV/atom
Size of the total moment = 3.0 μB per formula unit
Density = 2.99 g/cm3
E = -5.551 eV/atom
V = 16.99 A^3/atom